--- A ---
{
  "formula": "Ba5Na5Sr",
  "functional": "PBE",
  "state": "relaxed",
  "lattice": [[7.122, 0.000, 0.000], [-3.561, 6.167, 0.000], [0.000, 0.000, 12.834]],
  "species": ["Ba", "Ba", "Ba", "Ba", "Ba", "Na", "Na", "Na", "Na", "Na", "Sr"],
  "frac_coords": [[0.000, 0.000, 0.000], [0.333, 0.667, 0.181], [0.333, 0.667, 0.819], [0.667, 0.333, 0.325], [0.667, 0.333, 0.675], [0.000, 0.000, 0.284], [0.000, 0.000, 0.716], [0.173, 0.346, 0.500], [0.173, 0.827, 0.500], [0.654, 0.827, 0.500], [0.667, 0.333, 0.000]]
}

=====

--- B ---
{
  "formula": "Ba5Na5Sr",
  "functional": "PBE",
  "state": "relaxed",
  "lattice": [[10.052, -3.274, 0.000], [10.052, 3.274, 0.000], [-0.005, 0.000, 9.072]],
  "species": ["Ba", "Ba", "Ba", "Ba", "Ba", "Na", "Na", "Na", "Na", "Na", "Sr"],
  "frac_coords": [[0.000, 0.000, 0.000], [0.363, 0.363, 0.243], [0.363, 0.363, 0.758], [0.637, 0.637, 0.242], [0.637, 0.637, 0.757], [0.194, 0.194, 0.500], [0.197, 0.197, 0.000], [0.500, 0.500, 0.500], [0.803, 0.803, 0.000], [0.806, 0.806, 0.500], [0.000, 0.000, 0.500]]
}

=====

It comes down to A, which is 6.0 kJ/mol of atoms more stable than the next structure.

=====

--- A ---
{
  "formula": "Ba2Na3Sr",
  "functional": "PBE",
  "state": "relaxed",
  "lattice": [[7.491, 0.000, 0.000], [-3.745, 6.487, 0.000], [0.000, 0.000, 12.164]],
  "species": ["Ba", "Ba", "Ba", "Ba", "Na", "Na", "Na", "Na", "Na", "Na", "Sr", "Sr"],
  "frac_coords": [[0.000, 0.000, 0.000], [0.000, 0.000, 0.500], [0.333, 0.667, 0.069], [0.667, 0.333, 0.931], [0.180, 0.361, 0.748], [0.180, 0.820, 0.748], [0.361, 0.180, 0.252], [0.639, 0.820, 0.748], [0.820, 0.180, 0.252], [0.820, 0.639, 0.252], [0.333, 0.667, 0.440], [0.667, 0.333, 0.560]]
}

=====

--- B ---
{
  "formula": "Ba2Na3Sr",
  "functional": "PBE",
  "state": "relaxed",
  "lattice": [[4.655, 0.000, 0.000], [0.000, 4.655, 0.000], [0.000, 0.000, 13.752]],
  "species": ["Ba", "Ba", "Na", "Na", "Na", "Sr"],
  "frac_coords": [[0.000, 0.000, 0.170], [0.000, 0.000, 0.830], [0.500, 0.500, 0.000], [0.500, 0.500, 0.344], [0.500, 0.500, 0.656], [0.000, 0.000, 0.500]]
}

=====

It comes down to B, which is 0.8 kJ/mol of atoms more stable than the next structure.

=====

--- A ---
{
  "formula": "BaNa6Sr12",
  "functional": "PBE",
  "state": "relaxed",
  "lattice": [[6.839, 3.949, 5.970], [-6.839, 3.949, 5.970], [0.000, -7.897, 5.970]],
  "species": ["Ba", "Na", "Na", "Na", "Na", "Na", "Na", "Sr", "Sr", "Sr", "Sr", "Sr", "Sr", "Sr", "Sr", "Sr", "Sr", "Sr", "Sr"],
  "frac_coords": [[0.000, 0.000, 0.000], [0.113, 0.267, 0.731], [0.267, 0.731, 0.113], [0.269, 0.887, 0.733], [0.731, 0.113, 0.267], [0.733, 0.269, 0.887], [0.887, 0.733, 0.269], [0.036, 0.379, 0.160], [0.160, 0.036, 0.379], [0.198, 0.570, 0.471], [0.379, 0.160, 0.036], [0.430, 0.529, 0.802], [0.471, 0.198, 0.570], [0.529, 0.802, 0.430], [0.570, 0.471, 0.198], [0.621, 0.840, 0.964], [0.802, 0.430, 0.529], [0.840, 0.964, 0.621], [0.964, 0.621, 0.840]]
}

=====

--- B ---
{
  "formula": "BaNa6Sr12",
  "functional": "PBE",
  "state": "relaxed",
  "lattice": [[-6.209, 6.209, 6.209], [6.209, -6.209, 6.209], [6.209, 6.209, -6.209]],
  "species": ["Ba", "Na", "Na", "Na", "Na", "Na", "Na", "Sr", "Sr", "Sr", "Sr", "Sr", "Sr", "Sr", "Sr", "Sr", "Sr", "Sr", "Sr"],
  "frac_coords": [[0.000, 0.000, 0.000], [0.126, 0.626, 0.500], [0.374, 0.500, 0.874], [0.500, 0.126, 0.626], [0.500, 0.874, 0.374], [0.626, 0.500, 0.126], [0.874, 0.374, 0.500], [0.083, 0.806, 0.277], [0.194, 0.277, 0.470], [0.194, 0.723, 0.917], [0.277, 0.083, 0.806], [0.277, 0.470, 0.194], [0.470, 0.194, 0.277], [0.530, 0.806, 0.723], [0.723, 0.530, 0.806], [0.723, 0.917, 0.194], [0.806, 0.277, 0.083], [0.806, 0.723, 0.530], [0.917, 0.194, 0.723]]
}

=====

It comes down to B, which is 1.5 kJ/mol of atoms more stable than the next structure.

=====

--- A ---
{
  "formula": "Ba2Na3Sr2",
  "functional": "PBE",
  "state": "relaxed",
  "lattice": [[7.324, -3.350, 0.000], [7.324, 3.350, 0.000], [-5.860, 0.000, 7.195]],
  "species": ["Ba", "Ba", "Na", "Na", "Na", "Sr", "Sr"],
  "frac_coords": [[0.167, 0.167, 0.294], [0.833, 0.833, 0.706], [0.488, 0.488, 0.322], [0.500, 0.500, 0.000], [0.512, 0.512, 0.678], [0.169, 0.169, 0.793], [0.831, 0.831, 0.207]]
}

=====

--- B ---
{
  "formula": "Ba2Na3Sr2",
  "functional": "PBE",
  "state": "relaxed",
  "lattice": [[-5.645, 5.645, 5.645], [5.645, -5.645, 5.645], [5.645, 5.645, -5.645]],
  "species": ["Ba", "Ba", "Ba", "Ba", "Na", "Na", "Na", "Na", "Na", "Na", "Sr", "Sr", "Sr", "Sr"],
  "frac_coords": [[0.000, 0.356, 0.500], [0.144, 0.144, 0.144], [0.356, 0.500, 0.000], [0.500, 0.000, 0.356], [0.112, 0.750, 0.862], [0.250, 0.638, 0.388], [0.388, 0.250, 0.638], [0.638, 0.388, 0.250], [0.750, 0.862, 0.112], [0.862, 0.112, 0.750], [0.000, 0.867, 0.500], [0.500, 0.000, 0.867], [0.633, 0.633, 0.633], [0.867, 0.500, 0.000]]
}

=====

It comes down to A, which is 4.4 kJ/mol of atoms more stable than the next structure.

=====

--- A ---
{
  "formula": "BaNa3Sr",
  "functional": "PBE",
  "state": "relaxed",
  "lattice": [[3.624, -9.819, 0.000], [3.624, 9.819, 0.000], [0.000, 0.000, 6.742]],
  "species": ["Ba", "Ba", "Na", "Na", "Na", "Na", "Na", "Na", "Sr", "Sr"],
  "frac_coords": [[0.206, 0.794, 0.750], [0.794, 0.206, 0.250], [0.000, 0.000, 0.000], [0.000, 0.000, 0.500], [0.130, 0.371, 0.750], [0.371, 0.130, 0.250], [0.629, 0.870, 0.750], [0.870, 0.629, 0.250], [0.428, 0.572, 0.250], [0.572, 0.428, 0.750]]
}

=====

--- B ---
{
  "formula": "BaNa3Sr",
  "functional": "PBE",
  "state": "relaxed",
  "lattice": [[6.593, 0.000, 0.000], [0.000, 6.593, 0.000], [0.000, 0.000, 6.593]],
  "species": ["Ba", "Na", "Na", "Na", "Sr"],
  "frac_coords": [[0.000, 0.000, 0.000], [0.000, 0.500, 0.500], [0.500, 0.000, 0.500], [0.500, 0.500, 0.000], [0.500, 0.500, 0.500]]
}

=====

It comes down to A, which is 30.6 kJ/mol of atoms more stable than the next structure.

=====

--- A ---
{
  "formula": "Ba3NaSr6",
  "functional": "PBE",
  "state": "relaxed",
  "lattice": [[12.997, 0.000, 0.000], [0.000, 6.312, 0.000], [-0.995, 0.000, 13.699]],
  "species": ["Ba", "Ba", "Ba", "Ba", "Ba", "Ba", "Na", "Na", "Sr", "Sr", "Sr", "Sr", "Sr", "Sr", "Sr", "Sr", "Sr", "Sr", "Sr", "Sr"],
  "frac_coords": [[0.047, 0.250, 0.404], [0.150, 0.750, 0.214], [0.256, 0.250, 0.016], [0.744, 0.750, 0.984], [0.850, 0.250, 0.786], [0.953, 0.750, 0.596], [0.449, 0.250, 0.614], [0.551, 0.750, 0.386], [0.057, 0.750, 0.902], [0.170, 0.250, 0.706], [0.278, 0.750, 0.515], [0.355, 0.750, 0.814], [0.370, 0.250, 0.324], [0.455, 0.750, 0.110], [0.545, 0.250, 0.890], [0.630, 0.750, 0.676], [0.645, 0.250, 0.186], [0.722, 0.250, 0.485], [0.830, 0.750, 0.294], [0.943, 0.250, 0.098]]
}

=====

--- B ---
{
  "formula": "Ba3NaSr6",
  "functional": "PBE",
  "state": "relaxed",
  "lattice": [[12.611, 0.000, 0.000], [0.000, 13.659, 0.000], [0.000, 0.000, 6.725]],
  "species": ["Ba", "Ba", "Ba", "Ba", "Ba", "Ba", "Na", "Na", "Sr", "Sr", "Sr", "Sr", "Sr", "Sr", "Sr", "Sr", "Sr", "Sr", "Sr", "Sr"],
  "frac_coords": [[0.000, 0.000, 0.000], [0.219, 0.060, 0.500], [0.281, 0.560, 0.000], [0.500, 0.500, 0.500], [0.719, 0.440, 0.000], [0.781, 0.940, 0.500], [0.000, 0.500, 0.500], [0.500, 0.000, 0.000], [0.047, 0.319, 0.000], [0.113, 0.762, 0.500], [0.230, 0.354, 0.500], [0.270, 0.854, 0.000], [0.387, 0.262, 0.000], [0.453, 0.819, 0.500], [0.547, 0.181, 0.500], [0.613, 0.738, 0.000], [0.730, 0.146, 0.000], [0.770, 0.646, 0.500], [0.887, 0.238, 0.500], [0.953, 0.681, 0.000]]
}

=====

It comes down to A, which is 6.8 kJ/mol of atoms more stable than the next structure.

=====

--- A ---
{
  "formula": "Ba4Na2Sr",
  "functional": "PBE",
  "state": "relaxed",
  "lattice": [[3.421, 1.975, 10.564], [-3.421, 1.975, 10.564], [0.000, -3.951, 10.564]],
  "species": ["Ba", "Ba", "Ba", "Ba", "Na", "Na", "Sr"],
  "frac_coords": [[0.122, 0.122, 0.122], [0.262, 0.262, 0.262], [0.738, 0.738, 0.738], [0.878, 0.878, 0.878], [0.384, 0.384, 0.384], [0.616, 0.616, 0.616], [0.500, 0.500, 0.500]]
}

=====

--- B ---
{
  "formula": "Ba4Na2Sr",
  "functional": "PBE",
  "state": "relaxed",
  "lattice": [[5.890, -3.414, 0.000], [5.890, 3.414, 0.000], [-4.140, 0.000, 9.603]],
  "species": ["Ba", "Ba", "Ba", "Ba", "Na", "Na", "Sr"],
  "frac_coords": [[0.066, 0.066, 0.210], [0.220, 0.220, 0.652], [0.780, 0.780, 0.348], [0.934, 0.934, 0.790], [0.354, 0.354, 0.074], [0.646, 0.646, 0.926], [0.500, 0.500, 0.500]]
}

=====

It comes down to B, which is 9.0 kJ/mol of atoms more stable than the next structure.

=====

--- A ---
{
  "formula": "Ba8NaSr2",
  "functional": "PBE",
  "state": "relaxed",
  "lattice": [[11.218, -4.050, 0.000], [11.218, 4.050, 0.000], [-2.536, 0.000, 7.536]],
  "species": ["Ba", "Ba", "Ba", "Ba", "Ba", "Ba", "Ba", "Ba", "Na", "Sr", "Sr"],
  "frac_coords": [[0.086, 0.086, 0.434], [0.164, 0.664, 0.048], [0.303, 0.303, 0.433], [0.336, 0.836, 0.952], [0.664, 0.164, 0.048], [0.697, 0.697, 0.567], [0.836, 0.336, 0.952], [0.914, 0.914, 0.566], [0.500, 0.500, 0.500], [0.242, 0.242, 0.886], [0.758, 0.758, 0.114]]
}

=====

--- B ---
{
  "formula": "Ba8NaSr2",
  "functional": "PBE",
  "state": "relaxed",
  "lattice": [[11.540, -3.487, 0.000], [11.540, 3.487, 0.000], [-0.031, 0.000, 8.218]],
  "species": ["Ba", "Ba", "Ba", "Ba", "Ba", "Ba", "Ba", "Ba", "Na", "Sr", "Sr"],
  "frac_coords": [[0.042, 0.042, 0.243], [0.227, 0.227, 0.140], [0.325, 0.325, 0.590], [0.410, 0.410, 0.067], [0.590, 0.590, 0.933], [0.675, 0.675, 0.410], [0.773, 0.773, 0.860], [0.958, 0.958, 0.757], [0.500, 0.500, 0.500], [0.144, 0.144, 0.688], [0.856, 0.856, 0.312]]
}

=====

It comes down to B, which is 7.4 kJ/mol of atoms more stable than the next structure.

=====

--- A ---
{
  "formula": "Ba4Na2Sr5",
  "functional": "PBE",
  "state": "relaxed",
  "lattice": [[10.546, 0.000, 0.000], [0.000, 4.266, 0.000], [-0.946, 0.000, 13.803]],
  "species": ["Ba", "Ba", "Ba", "Ba", "Na", "Na", "Sr", "Sr", "Sr", "Sr", "Sr"],
  "frac_coords": [[0.157, 0.000, 0.389], [0.282, 0.000, 0.947], [0.718, 0.000, 0.053], [0.843, 0.000, 0.611], [0.055, 0.500, 0.132], [0.945, 0.500, 0.868], [0.200, 0.500, 0.670], [0.427, 0.500, 0.206], [0.500, 0.500, 0.500], [0.573, 0.500, 0.794], [0.800, 0.500, 0.330]]
}

=====

--- B ---
{
  "formula": "Ba4Na2Sr5",
  "functional": "PBE",
  "state": "relaxed",
  "lattice": [[10.906, 0.000, 0.000], [0.000, 24.568, 0.000], [0.000, 0.000, 4.549]],
  "species": ["Ba", "Ba", "Ba", "Ba", "Ba", "Ba", "Ba", "Ba", "Na", "Na", "Na", "Na", "Sr", "Sr", "Sr", "Sr", "Sr", "Sr", "Sr", "Sr", "Sr", "Sr"],
  "frac_coords": [[0.075, 0.148, 0.000], [0.206, 0.433, 0.000], [0.294, 0.933, 0.000], [0.425, 0.648, 0.000], [0.575, 0.352, 0.000], [0.706, 0.067, 0.000], [0.794, 0.567, 0.000], [0.925, 0.852, 0.000], [0.038, 0.695, 0.000], [0.462, 0.195, 0.000], [0.538, 0.805, 0.000], [0.962, 0.305, 0.000], [0.000, 0.000, 0.500], [0.126, 0.575, 0.500], [0.246, 0.783, 0.500], [0.254, 0.283, 0.500], [0.374, 0.075, 0.500], [0.500, 0.500, 0.500], [0.626, 0.925, 0.500], [0.746, 0.717, 0.500], [0.754, 0.217, 0.500], [0.874, 0.425, 0.500]]
}

=====

It comes down to B, which is 1.9 kJ/mol of atoms more stable than the next structure.

=====

--- A ---
{
  "formula": "Ba4NaSr3",
  "functional": "PBE",
  "state": "relaxed",
  "lattice": [[4.280, 0.000, 0.000], [0.000, 6.771, 0.000], [0.000, 0.000, 16.202]],
  "species": ["Ba", "Ba", "Ba", "Ba", "Na", "Sr", "Sr", "Sr"],
  "frac_coords": [[0.000, 0.000, 0.000], [0.000, 0.500, 0.344], [0.500, 0.000, 0.491], [0.500, 0.500, 0.851], [0.500, 0.000, 0.237], [0.000, 0.000, 0.736], [0.000, 0.500, 0.604], [0.500, 0.500, 0.110]]
}

=====

--- B ---
{
  "formula": "Ba4NaSr3",
  "functional": "PBE",
  "state": "relaxed",
  "lattice": [[4.853, 0.000, 0.000], [0.000, 4.853, 0.000], [0.000, 0.000, 19.524]],
  "species": ["Ba", "Ba", "Ba", "Ba", "Na", "Sr", "Sr", "Sr"],
  "frac_coords": [[0.000, 0.000, 0.115], [0.000, 0.000, 0.373], [0.000, 0.000, 0.627], [0.000, 0.000, 0.885], [0.500, 0.500, 0.000], [0.500, 0.500, 0.249], [0.500, 0.500, 0.500], [0.500, 0.500, 0.751]]
}

=====

It comes down to B, which is 2.9 kJ/mol of atoms more stable than the next structure.